Record 1
Compound: PdAu2Br8
Source: the Alexandria database
Functional: GGA-PBE
Structure: optimized geometry

- symmetry = C2/m
- Fermi-level density of states (states/eV/cell) = 4.0
- ΔE_f (raw) (eV/f.u.) = -1.16

Cell: 9.4063 7.1937 10.8588 Å, 117.29 90.00 130.83°
Closest atoms and distances in Å follow each position.
Fractional coordinates of all 11 atoms:
Br (0.8436, 0.0526, 0.1741)  1 Pd 2.44
Br (0.1750, 0.3500, 0.6846)  2 Au 2.52-2.56
Br (0.7909, 0.9474, 0.8259)  1 Pd 2.44
Br (0.1564, 0.9474, 0.8259)  1 Pd 2.44
Br (0.3759, 0.7518, 0.5228)  1 Au 2.45
Br (0.2091, 0.0526, 0.1741)  1 Pd 2.44
Br (0.6241, 0.2482, 0.4772)  1 Au 2.45
Br (0.8250, 0.6500, 0.3154)  2 Au 2.52-2.56
Pd (0.0000, 0.0000, 0.0000)  4 Br 2.44
Au (0.8986, 0.7972, 0.5885)  3 Br 2.45-2.56
Au (0.1014, 0.2028, 0.4115)  3 Br 2.45-2.56

=====

Record 2
Compound: Pd5Au3Br12
Source: the Alexandria database
Functional: GGA-PBE
Structure: optimized geometry

- symmetry = Ia-3d
- Fermi-level density of states (states/eV/cell) = 91.8
- ΔE_f (raw) (eV/f.u.) = -0.12

Cell: 14.4303 14.4303 14.4303 Å, 109.47 109.47 109.47°
Closest atoms and distances in Å follow each position.
Fractional coordinates of all 80 atoms:
Br (0.3678, 0.3550, 0.5310)  2 Pd 2.53-2.60, 1 Au 2.77
Br (0.3550, 0.3678, 0.0310)  2 Pd 2.53-2.60, 1 Au 2.77
Br (0.3678, 0.0129, 0.3368)  2 Pd 2.53-2.60, 1 Au 2.77
Br (0.6322, 0.9871, 0.6632)  2 Pd 2.53-2.60, 1 Au 2.77
Br (0.6760, 0.5310, 0.1632)  2 Pd 2.53-2.60, 1 Au 2.77
Br (0.6760, 0.1450, 0.0129)  2 Pd 2.53-2.60, 1 Au 2.77
Br (0.4871, 0.8240, 0.8550)  2 Pd 2.53-2.60, 1 Au 2.77
Br (0.8550, 0.3240, 0.4871)  2 Pd 2.53-2.60, 1 Au 2.77
Br (0.1322, 0.9690, 0.1450)  2 Pd 2.53-2.60, 1 Au 2.77
Br (0.8368, 0.9690, 0.3240)  2 Pd 2.53-2.60, 1 Au 2.77
Br (0.9690, 0.1322, 0.6450)  2 Pd 2.53-2.60, 1 Au 2.77
Br (0.6632, 0.1760, 0.5310)  2 Pd 2.53-2.60, 1 Au 2.77
Br (0.1450, 0.4690, 0.1322)  2 Pd 2.53-2.60, 1 Au 2.77
Br (0.1632, 0.1322, 0.9871)  2 Pd 2.53-2.60, 1 Au 2.77
Br (0.8678, 0.8368, 0.5129)  2 Pd 2.53-2.60, 1 Au 2.77
Br (0.4690, 0.1450, 0.6322)  2 Pd 2.53-2.60, 1 Au 2.77
Br (0.3368, 0.8240, 0.4690)  2 Pd 2.53-2.60, 1 Au 2.77
Br (0.8550, 0.5310, 0.8678)  2 Pd 2.53-2.60, 1 Au 2.77
Br (0.8678, 0.0310, 0.8550)  2 Pd 2.53-2.60, 1 Au 2.77
Br (0.4690, 0.3240, 0.3368)  2 Pd 2.53-2.60, 1 Au 2.77
Br (0.8240, 0.3368, 0.9690)  2 Pd 2.53-2.60, 1 Au 2.77
Br (0.5129, 0.3368, 0.8678)  2 Pd 2.53-2.60, 1 Au 2.77
Br (0.1322, 0.1632, 0.4871)  2 Pd 2.53-2.60, 1 Au 2.77
Br (0.0310, 0.8678, 0.3550)  2 Pd 2.53-2.60, 1 Au 2.77
Br (0.3240, 0.8550, 0.9871)  2 Pd 2.53-2.60, 1 Au 2.77
Br (0.1760, 0.5129, 0.6450)  2 Pd 2.53-2.60, 1 Au 2.77
Br (0.9690, 0.8368, 0.8240)  2 Pd 2.53-2.60, 1 Au 2.77
Br (0.9871, 0.3550, 0.3240)  2 Pd 2.53-2.60, 1 Au 2.77
Br (0.6450, 0.6322, 0.9690)  2 Pd 2.53-2.60, 1 Au 2.77
Br (0.0129, 0.3678, 0.8368)  2 Pd 2.53-2.60, 1 Au 2.77
Br (0.3550, 0.9871, 0.8240)  2 Pd 2.53-2.60, 1 Au 2.77
Br (0.3240, 0.4690, 0.8368)  2 Pd 2.53-2.60, 1 Au 2.77
Br (0.8368, 0.8678, 0.0129)  2 Pd 2.53-2.60, 1 Au 2.77
Br (0.0129, 0.6450, 0.6760)  2 Pd 2.53-2.60, 1 Au 2.77
Br (0.5310, 0.6760, 0.6632)  2 Pd 2.53-2.60, 1 Au 2.77
Br (0.6322, 0.6450, 0.4690)  2 Pd 2.53-2.60, 1 Au 2.77
Br (0.4871, 0.6632, 0.1322)  2 Pd 2.53-2.60, 1 Au 2.77
Br (0.5129, 0.1760, 0.1450)  2 Pd 2.53-2.60, 1 Au 2.77
Br (0.5310, 0.8550, 0.3678)  2 Pd 2.53-2.60, 1 Au 2.77
Br (0.1632, 0.0310, 0.6760)  2 Pd 2.53-2.60, 1 Au 2.77
Br (0.6632, 0.4871, 0.6322)  2 Pd 2.53-2.60, 1 Au 2.77
Br (0.3368, 0.5129, 0.3678)  2 Pd 2.53-2.60, 1 Au 2.77
Br (0.1450, 0.6760, 0.5129)  2 Pd 2.53-2.60, 1 Au 2.77
Br (0.1760, 0.6632, 0.0310)  2 Pd 2.53-2.60, 1 Au 2.77
Br (0.8240, 0.4871, 0.3550)  2 Pd 2.53-2.60, 1 Au 2.77
Br (0.0310, 0.1632, 0.1760)  2 Pd 2.53-2.60, 1 Au 2.77
Br (0.6450, 0.0129, 0.1760)  2 Pd 2.53-2.60, 1 Au 2.77
Br (0.9871, 0.6322, 0.1632)  2 Pd 2.53-2.60, 1 Au 2.77
Pd (0.3750, 0.2500, 0.1250)  4 Br 2.53
Pd (0.0000, 0.0000, 0.0000)  6 Br 2.60
Pd (0.6250, 0.8750, 0.2500)  4 Br 2.53
Pd (0.0000, 0.5000, 0.0000)  6 Br 2.60
Pd (0.0000, 0.5000, 0.5000)  6 Br 2.60
Pd (0.8750, 0.2500, 0.6250)  4 Br 2.53
Pd (0.8750, 0.6250, 0.7500)  4 Br 2.53
Pd (0.0000, 0.0000, 0.5000)  6 Br 2.60
Pd (0.2500, 0.3750, 0.6250)  4 Br 2.53
Pd (0.5000, 0.5000, 0.0000)  6 Br 2.60
Pd (0.1250, 0.7500, 0.3750)  4 Br 2.53
Pd (0.5000, 0.5000, 0.5000)  6 Br 2.60
Pd (0.2500, 0.8750, 0.1250)  4 Br 2.53
Pd (0.7500, 0.1250, 0.8750)  4 Br 2.53
Pd (0.3750, 0.1250, 0.7500)  4 Br 2.53
Pd (0.6250, 0.7500, 0.8750)  4 Br 2.53
Pd (0.7500, 0.6250, 0.3750)  4 Br 2.53
Pd (0.5000, 0.0000, 0.0000)  6 Br 2.60
Pd (0.5000, 0.0000, 0.5000)  6 Br 2.60
Pd (0.1250, 0.3750, 0.2500)  4 Br 2.53
Au (0.1250, 0.8750, 0.7500)  4 Br 2.77
Au (0.2500, 0.6250, 0.8750)  4 Br 2.77
Au (0.6250, 0.2500, 0.3750)  4 Br 2.77
Au (0.6250, 0.3750, 0.7500)  4 Br 2.77
Au (0.8750, 0.1250, 0.2500)  4 Br 2.77
Au (0.2500, 0.1250, 0.3750)  4 Br 2.77
Au (0.3750, 0.7500, 0.6250)  4 Br 2.77
Au (0.7500, 0.8750, 0.6250)  4 Br 2.77
Au (0.7500, 0.3750, 0.1250)  4 Br 2.77
Au (0.3750, 0.6250, 0.2500)  4 Br 2.77
Au (0.1250, 0.2500, 0.8750)  4 Br 2.77
Au (0.8750, 0.7500, 0.1250)  4 Br 2.77

=====

Record 3
Compound: Pd2Au2Br
Source: the Alexandria database
Functional: GGA-PBE
Structure: optimized geometry

- symmetry = P4/mbm
- Fermi-level density of states (states/eV/cell) = 6.5
- ΔE_f (raw) (eV/f.u.) = 1.17

Cell: 7.5961 7.5961 3.3105 Å, 90.00 90.00 90.00°
Closest atoms and distances in Å follow each position.
Fractional coordinates of all 10 atoms:
Pd (0.6490, 0.8510, 0.5000)  6 Au 2.76-2.78
Pd (0.3510, 0.1490, 0.5000)  6 Au 2.76-2.78
Pd (0.8510, 0.3510, 0.5000)  6 Au 2.76-2.78
Pd (0.1490, 0.6490, 0.5000)  6 Au 2.76-2.78
Au (0.3551, 0.8551, 0.0000)  6 Pd 2.76-2.78, 2 Br 2.91
Au (0.1449, 0.3551, 0.0000)  6 Pd 2.76-2.78, 2 Br 2.91
Au (0.8551, 0.6449, 0.0000)  6 Pd 2.76-2.78, 2 Br 2.91
Au (0.6449, 0.1449, 0.0000)  6 Pd 2.76-2.78, 2 Br 2.91
Br (0.5000, 0.5000, 0.0000)  4 Au 2.91
Br (0.0000, 0.0000, 0.0000)  4 Au 2.91